Computed, not measured: an optimized crystal structure of CdAg4Te at the PBEsol level of DFT.

```
6
Lattice="0.000 3.879 3.879 3.879 0.000 3.879 3.879 3.879 0.000" Properties=species:S:1:pos:R:3 pbc="T T T"
Cd 0.000 0.000 0.000
Ag 2.906 2.906 2.906
Ag 4.851 4.851 2.906
Ag 4.851 2.906 4.851
Ag 2.906 4.851 4.851
Te 5.818 5.818 5.818
```

Results
Its total moment is 0.00 Bohr magnetons per cell. As for the volume: 116.7 Å³/cell. For the calculated total energy, the calculation gives -2.92 eV per atom. As for the density of states at the Fermi level: 1.92 states/eV/cell.